Zn3AsIr, optimized geometry, DFT PBE; space-group type = Pm-3m (221); distance to the lowest polymorph of the same formula = 0.000 eV per formula unit; calculated density = 7.1 Mg/m³; calculated formation energy = 249 kJ/mol of formula units; electronic total energy = -2.9496 eV per atom
1.0
4.770 0.000 0.000
0.000 4.770 0.000
0.000 0.000 4.770
Zn As Ir
3 1 1
direct
0.000 0.000 0.500
0.000 0.500 0.000
0.500 0.000 0.000
0.500 0.500 0.500
0.000 0.000 0.000